VASP calculation (PBE+U) on a relaxed AcPuMo2O8 crystal.

Geometry as extended XYZ:
```
12
Lattice="-2.7307 2.7307 5.8481 2.7307 -2.7307 5.8481 2.7307 2.7307 -5.8481" Properties=species:S:1:pos:R:3 pbc="T T T"
Ac 0.0000 0.0000 0.0000
Pu 2.7307 0.0000 2.9240
Mo 0.0000 0.0000 5.8481
Mo 0.0000 2.7307 2.9240
O 1.3836 0.9363 -1.9920
O 1.3969 -0.8001 4.8508
O 1.9305 1.3338 0.9972
O 1.7943 -1.3471 7.8401
O 1.3338 3.5308 -0.9972
O 1.3471 1.7943 3.8560
O 0.8001 1.3969 6.8453
O 0.9363 4.0777 1.9920
```

Properties
E = -100.21 eV per cell
crystal system = tetragonal
DOS(E_F) = 13.4 states/eV/cell



VASP calculation (PBE+U) on a relaxed Tl2MoSeO6 crystal.

Geometry as extended XYZ:
```
10
Lattice="-2.7663 2.7663 5.2506 2.7663 -2.7663 5.2506 2.7663 2.7663 -5.2506" Properties=species:S:1:pos:R:3 pbc="T T T"
Tl 2.7663 0.0000 2.6253
Tl 0.0000 2.7663 2.6253
Mo 0.0000 0.0000 0.0000
Se 0.0000 0.0000 5.2506
O 0.0000 0.0000 1.8801
O 1.4079 1.4079 0.0000
O 1.3584 -1.3584 5.2506
O -1.3584 1.3584 5.2506
O 1.3584 1.3584 5.2506
O 0.0000 0.0000 8.6211
```

Properties
E = -53.65 eV per cell
crystal system = tetragonal
DOS(E_F) = 0.4 states/eV/cell